The following is a DFT calculation (GGA-PBE) of a relaxed structure of PuZn4Pd2. Values from VASP.

```
&SYSTEM
  ibrav = 0, nat = 14, ntyp = 3
/
ATOMIC_SPECIES
Pu 244.00 Pu.upf
Zn 65.41 Zn.upf
Pd 106.42 Pd.upf
ATOMIC_POSITIONS crystal
Pu 0.5000 0.0000 0.0000
Pu 0.0000 0.5000 0.5000
Zn 0.0000 0.0950 0.3512
Zn 0.0000 0.9050 0.6488
Zn 0.5000 0.1488 0.5950
Zn 0.5000 0.8512 0.4050
Zn 0.5000 0.4050 0.8512
Zn 0.5000 0.5950 0.1488
Zn 0.0000 0.3512 0.0950
Zn 0.0000 0.6488 0.9050
Pd 0.0000 0.2206 0.7794
Pd 0.0000 0.7794 0.2206
Pd 0.5000 0.7206 0.7206
Pd 0.5000 0.2794 0.2794
CELL_PARAMETERS angstrom
-2.8165 2.6912 -1.6976
0.9084 -3.3110 -6.7562
-5.6016 -4.8409 1.6192
```

Calculated values
- Raw total energy: -4.66 eV per atom
- Crystal system: tetragonal
- Space-group type: No. 136
- Formation energy from the elements: -0.398 eV/atom
- Size of the total moment: 0.771 μB per atom